GGA-PBE Na5HoO4, relaxed; total magnetization = 0.0 Bohr magnetons per cell; total DFT energy (no corrections) = -4.901 eV/atom; D(E_F) = 0.000 states/eV per cell; energy relative to the elements, uncorrected = -1.80 eV per atom; symmetry = Immm (71)
1.0
-1.7646 3.1905 6.5413
1.7646 -3.1905 6.5413
1.7646 3.1905 -6.5413
Na Ho O
5 1 4
Direct
0.0000 0.0000 0.0000
0.0912 0.3269 0.7643
0.4374 0.6731 0.7643
0.5626 0.3269 0.2357
0.9088 0.6731 0.2357
0.5000 0.0000 0.5000
0.2636 0.5000 0.7636
0.3163 0.8163 0.5000
0.6837 0.1837 0.5000
0.7364 0.5000 0.2364


GGA-PBE Ti3Zn3H, relaxed; total magnetization = 0.0 Bohr magnetons per cell; total DFT energy (no corrections) = -4.608 eV/atom; D(E_F) = 35.456 states/eV per cell; symmetry = Fd-3m (227)
1.0
0.0000 5.7501 5.7501
5.7501 0.0000 5.7501
5.7501 5.7501 0.0000
Ti Zn H
12 12 4
Direct
0.0695 0.0695 0.6805
0.0695 0.6805 0.0695
0.0695 0.6805 0.6805
0.3195 0.3195 0.9305
0.3195 0.9305 0.3195
0.3195 0.9305 0.9305
0.6805 0.0695 0.0695
0.6805 0.0695 0.6805
0.6805 0.6805 0.0695
0.9305 0.3195 0.3195
0.9305 0.3195 0.9305
0.9305 0.9305 0.3195
0.0000 0.5000 0.5000
0.2879 0.2879 0.2879
0.2879 0.2879 0.6362
0.2879 0.6362 0.2879
0.3638 0.7121 0.7121
0.5000 0.0000 0.5000
0.5000 0.5000 0.0000
0.5000 0.5000 0.5000
0.6362 0.2879 0.2879
0.7121 0.3638 0.7121
0.7121 0.7121 0.3638
0.7121 0.7121 0.7121
0.0000 0.0000 0.0000
0.0000 0.0000 0.5000
0.0000 0.5000 0.0000
0.5000 0.0000 0.0000


GGA-PBE BaBe3Te, relaxed; total magnetization = 0.0 Bohr magnetons per cell; total DFT energy (no corrections) = -2.340 eV/atom; D(E_F) = 4.344 states/eV per cell; energy relative to the elements, uncorrected = 0.91 eV per atom; symmetry = Pm-3m (221); relative energy among the computed polymorphs = 0 meV/atom
1.0
4.9965 0.0000 0.0000
0.0000 4.9965 0.0000
0.0000 0.0000 4.9965
Ba Be Te
1 3 1
Direct
0.0000 0.0000 0.0000
0.0000 0.5000 0.5000
0.5000 0.0000 0.5000
0.5000 0.5000 0.0000
0.5000 0.5000 0.5000


GGA-PBE CaTl4Hg15, relaxed; total magnetization = 0.0 Bohr magnetons per cell; total DFT energy (no corrections) = -0.889 eV/atom; calculated formation energy = -0.089 eV/atom; D(E_F) = 5.211 states/eV per cell; symmetry = P4/mmm (123)
1.0
5.0732 0.0000 0.0000
0.0000 5.0732 0.0000
0.0000 0.0000 21.3175
Ca Tl Hg
1 4 15
Direct
0.0000 0.0000 0.0000
0.0000 0.0000 0.1982
0.0000 0.0000 0.3970
0.0000 0.0000 0.6030
0.0000 0.0000 0.8018
0.0000 0.5000 0.0962
0.0000 0.5000 0.2961
0.0000 0.5000 0.5000
0.0000 0.5000 0.7039
0.0000 0.5000 0.9038
0.5000 0.0000 0.0962
0.5000 0.0000 0.2961
0.5000 0.0000 0.5000
0.5000 0.0000 0.7039
0.5000 0.0000 0.9038
0.5000 0.5000 0.0000
0.5000 0.5000 0.1927
0.5000 0.5000 0.3972
0.5000 0.5000 0.6028
0.5000 0.5000 0.8073


GGA-PBE K2Ag2Au, relaxed; total magnetization = 0.0 Bohr magnetons per cell; total DFT energy (no corrections) = -2.218 eV/atom; calculated formation energy = 0.017 eV/atom; D(E_F) = 1.818 states/eV per cell; symmetry = I4/mmm (139); relative energy among the computed polymorphs = 150 meV/atom
1.0
-3.2339 3.2339 4.0477
3.2339 -3.2339 4.0477
3.2339 3.2339 -4.0477
K Ag Au
2 2 1
Direct
0.2500 0.7500 0.5000
0.7500 0.2500 0.5000
0.1645 0.1645 0.0000
0.8355 0.8355 0.0000
0.5000 0.5000 0.0000


GGA-PBE SrPu4O12, relaxed; total magnetization = 10.0 Bohr magnetons per cell; total DFT energy (no corrections) = -9.662 eV/atom; D(E_F) = 13.469 states/eV per cell; energy relative to the elements, uncorrected = -2.69 eV per atom; symmetry = I4/mmm (139)
1.0
-4.1731 4.1731 4.1531
4.1731 -4.1731 4.1531
4.1731 4.1731 -4.1531
Sr Pu O
1 4 12
Direct
0.0000 0.0000 0.0000
0.0000 0.0000 0.5000
0.0000 0.5000 0.0000
0.5000 0.0000 0.0000
0.5000 0.5000 0.5000
0.0194 0.7787 0.2407
0.2213 0.4620 0.2407
0.2213 0.9806 0.7593
0.2611 0.2611 0.5222
0.2611 0.7389 0.0000
0.4620 0.2213 0.2407
0.5380 0.7787 0.7593
0.7389 0.2611 0.0000
0.7389 0.7389 0.4778
0.7787 0.0194 0.2407
0.7787 0.5380 0.7593
0.9806 0.2213 0.7593